# 1
# Cs2CoSCl6

A relaxed Cs2CoSCl6 crystal (PBE, the Alexandria database).

Properties
* mass density: 3.2 g/cm3
* raw formation energy: -0.918 eV per atom
* symmetry: I4/mmm (139)

Lattice parameters (Å, degrees): 7.0988 7.0988 7.6878 62.50 62.50 90.00
Closest atoms and distances in Å follow each position.
Fractional positions:
1 Cs 0.7500 0.2500 0.5000  12 Cl 3.62-3.85
2 Cs 0.2500 0.7500 0.5000  12 Cl 3.62-3.85
3 S 0.5000 0.5000 0.0000  4 Cl 2.38
4 Co 0.0000 0.0000 0.0000  2 Cl 2.22
5 Cl 0.1908 0.1908 0.6183  1 Co 2.22
6 Cl 0.8092 0.8092 0.3817  1 Co 2.22
7 Cl 0.2632 0.2632 0.0000  1 S 2.38, 1 Co 2.64
8 Cl 0.7368 0.7368 0.0000  1 S 2.38, 1 Co 2.64
9 Cl 0.7368 0.2632 0.0000  1 S 2.38, 1 Co 2.64
10 Cl 0.2632 0.7368 0.0000  1 S 2.38, 1 Co 2.64

=====

# 2
# CsCoS2Cl

A relaxed CsCoS2Cl crystal (PBE, the Alexandria database).

Properties
* mass density: 2.6 g/cm3
* raw formation energy: 1.312 eV per atom
* ΔE to the lowest computed polymorph: 1.7485 eV/atom
* symmetry: P4/mmm (123)

Lattice parameters (Å, degrees): 5.4347 5.4347 6.2334 90.00 90.00 90.00
Closest atoms and distances in Å follow each position.
Fractional positions:
1 Cs 0.0000 0.0000 0.0000  4 S 2.72
2 S 0.0000 0.5000 0.0000  2 Cs 2.72
3 S 0.5000 0.0000 0.0000  2 Cs 2.72
4 Co 0.5000 0.5000 0.5000  4 Cl 3.84, 8 S 4.13
5 Cl 0.0000 0.0000 0.5000  2 Cs 3.12

=====

# 3
# CsCo2SbCl8

A relaxed CsCo2SbCl8 crystal (PBE, the Alexandria database).

Properties
* mass density: 2.9 g/cm3
* raw formation energy: -0.901 eV per atom
* symmetry: R-3 (148)

Lattice parameters (Å, degrees): 6.5112 6.5112 10.8301 72.51 72.51 60.00
Closest atoms and distances in Å follow each position.
Fractional positions:
1 Cs 0.5000 0.5000 0.5000  12 Cl 3.80-4.11
2 Co 0.2578 0.2578 0.2267  4 Cl 2.19-2.27
3 Co 0.7422 0.7422 0.7733  4 Cl 2.19-2.27
4 Sb 0.0000 0.0000 0.0000  6 Cl 2.69
5 Cl 0.1859 0.1859 0.4423  1 Co 2.19
6 Cl 0.6126 0.2816 0.1562  1 Co 2.27
7 Cl 0.8141 0.8141 0.5577  1 Co 2.19
8 Cl 0.9496 0.6126 0.1562  1 Co 2.27
9 Cl 0.0504 0.3874 0.8438  1 Co 2.27
10 Cl 0.2816 0.9496 0.1562  1 Co 2.27
11 Cl 0.7184 0.0504 0.8438  1 Co 2.27
12 Cl 0.3874 0.7184 0.8438  1 Co 2.27

=====

# 4
# Cs2ScCoCl6

A relaxed Cs2ScCoCl6 crystal (PBE, the Alexandria database).

Properties
* mass density: 3.6 g/cm3
* raw formation energy: -1.641 eV per atom
* symmetry: I4/mmm (139)

Lattice parameters (Å, degrees): 7.2135 7.2135 7.2075 59.97 59.97 90.00
Closest atoms and distances in Å follow each position.
Fractional positions:
1 Cs 0.7500 0.2500 0.5000  12 Cl 3.60-3.61
2 Cs 0.2500 0.7500 0.5000  12 Cl 3.60-3.61
3 Sc 0.5000 0.5000 0.0000  6 Cl 2.54
4 Co 0.0000 0.0000 0.0000  6 Cl 2.55-2.56
5 Cl 0.2507 0.2507 0.4986  1 Sc 2.54, 1 Co 2.55
6 Cl 0.7493 0.7493 0.5014  1 Sc 2.54, 1 Co 2.55
7 Cl 0.2512 0.2512 0.0000  1 Sc 2.54, 1 Co 2.56
8 Cl 0.7488 0.7488 0.0000  1 Sc 2.54, 1 Co 2.56
9 Cl 0.7488 0.2512 0.0000  1 Sc 2.54, 1 Co 2.56
10 Cl 0.2512 0.7488 0.0000  1 Sc 2.54, 1 Co 2.56